# 1
CrSbO4 | the Alexandria database | PBEsol | optimized geometry; total energy = -7.5383 eV/atom; volume = 72.8 Å³ per cell; DOS at the Fermi energy = 0.78 states/eV per cell; raw formation energy = -1.57 eV/atom
1.0
-1.281 -1.090 3.530
2.866 -2.651 0.221
2.044 5.107 0.153
Sb O Cr
1 4 1
Cartesian
0.793 -1.870 1.876 Sb
1.946 2.406 3.615 O
1.656 1.889 1.184 O
-0.390 -0.259 1.944 O
1.974 -0.523 2.720 O
0.778 1.073 2.779 Cr

# 2
HgBi2Ir2 | the Alexandria database | PBEsol | optimized geometry; total energy = -5.2242 eV/atom; volume = 118.2 Å³ per cell; DOS at the Fermi energy = 5.18 states/eV per cell; energy of formation from the pure elements = 0.5327 eV/atom
1.0
4.714 0.000 0.000
0.000 4.714 0.000
-2.357 -2.357 5.317
Ir Bi Hg
2 2 1
Cartesian
0.000 0.000 4.107 Ir
2.357 2.357 1.210 Ir
0.000 2.357 2.659 Bi
2.357 0.000 2.659 Bi
0.000 0.000 0.000 Hg